Below is As3ClO after structural relaxation, with properties calculated at the PBEsol level.

Unit cell a=4.8008 b=4.8008 c=4.8008 alpha=90.00 beta=90.00 gamma=90.00
Atoms (fractional coordinates):
As: 0.0000 0.0000 0.5000
As: 0.0000 0.5000 0.0000
As: 0.5000 0.0000 0.0000
Cl: 0.0000 0.0000 0.0000
O: 0.5000 0.5000 0.5000

## Properties
Energy relative to the elements, uncorrected   1.599 eV/atom
E above lowest polymorph   1120.0 meV per atom